The following is a PBE calculation of crystalline Ca6Hg2Rh at its relaxed geometry, from Alexandria via LeMat-Bulk.

Unit cell a=6.7954 b=8.2475 c=10.3596 alpha=90.00 beta=88.62 gamma=90.00
Positions (direct):
Ca: 0.8784 0.9724 0.2490
Ca: 0.8532 0.6901 0.5558
Ca: 0.8450 0.6687 0.9439
Ca: 0.6550 0.1687 0.5561
Ca: 0.6468 0.1901 0.9442
Ca: 0.6216 0.4724 0.2510
Ca: 0.1216 0.0276 0.7510
Ca: 0.1468 0.3099 0.4442
Ca: 0.1550 0.3313 0.0561
Ca: 0.3450 0.8313 0.4439
Ca: 0.3532 0.8099 0.0558
Ca: 0.3784 0.5276 0.7490
Hg: 0.9340 0.3844 0.7419
Hg: 0.5660 0.8844 0.7581
Hg: 0.4340 0.1156 0.2419
Hg: 0.0660 0.6156 0.2581
Rh: 0.5000 0.5000 0.0000
Rh: 0.0000 0.0000 0.5000

Summary:
The total magnetization comes out at 0.0 μB/cell. The energy of formation from the pure elements comes out at -371 meV per atom. As for the space group: No. 14.